# PrSmMnAg | the Alexandria database | PBE | relaxed
data_PrSmMnAg
_chemical_formula_sum 'Pr4 Sm4 Mn4 Ag4'
_cell_length_a 7.419
_cell_length_b 7.419
_cell_length_c 7.419
_cell_angle_alpha 90.00
_cell_angle_beta 90.00
_cell_angle_gamma 90.00
_space_group_name_H-M_alt 'F -4 3 m'
_space_group_IT_number 216
_space_group_name_Hall 'F -4 2 3'
loop_
_atom_site_label
_atom_site_type_symbol
_atom_site_fract_x
_atom_site_fract_y
_atom_site_fract_z
Pr1 Pr 0.000 0.000 0.000
Sm1 Sm 0.000 0.000 0.500
Mn1 Mn 0.250 0.250 0.750
Ag1 Ag 0.250 0.250 0.250
# density of states at the Fermi level	0.91	states/eV per atom
# density	7.39	Mg/m³
# DFT formation energy	0.048	eV/atom
# uncorrected energy	-85.316	eV for the cell shown